Record 1
The following is a DFT calculation (PBE) of ScIr5 after structural relaxation.

Output
The calculation puts the energy relative to the elements at -210 meV/atom. The calculation puts the magnetic moment at 0.00 μB/cell. The volume comes out at 91.3 Å³/cell.

abc: 2.7843 2.7843 11.7742
angles: 90.00 90.00 90.00
Closest atoms and distances in Å follow each position.
Positions (direct):
Sc (0.0000, 0.0000, 0.0000)  4 Sc 2.78, 8 Ir 2.87
Ir (0.0000, 0.0000, 0.3372)  12 Ir 2.73-2.78
Ir (0.0000, 0.0000, 0.6628)  12 Ir 2.73-2.78
Ir (0.5000, 0.5000, 0.1771)  8 Ir 2.73-2.78, 4 Sc 2.87
Ir (0.5000, 0.5000, 0.5000)  12 Ir 2.75-2.78
Ir (0.5000, 0.5000, 0.8229)  8 Ir 2.73-2.78, 4 Sc 2.87

=====

Record 2
The following is a DFT calculation (PBE) of SnBiH2W after structural relaxation.

Output
The calculation puts the magnetic moment at 2.02 μB/cell. The volume comes out at 96.0 Å³/cell. The value obtained for the uncorrected energy is -4.560 eV per atom.

abc: 4.1554 4.1554 5.5609
angles: 90.00 90.00 90.00
Closest atoms and distances in Å follow each position.
Positions (direct):
Sn (0.0000, 0.0000, 0.0000)  4 Bi 2.94
Bi (0.5000, 0.5000, 0.0000)  2 W 2.78, 4 Sn 2.94
H (0.0000, 0.5000, 0.5000)  2 W 2.08
H (0.5000, 0.0000, 0.5000)  2 W 2.08
W (0.5000, 0.5000, 0.5000)  4 H 2.08

=====

Record 3
The following is a DFT calculation (PBE) of ScCo2Te after structural relaxation.

Output
As for the energy relative to the elements, uncorrected: -174 meV/atom. The calculation puts the magnetic moment at 1.38 μB/cell. The volume comes out at 67.3 Å³/cell. The value obtained for the energy relative to the lowest polymorph listed for this composition is 42.8 meV per atom.

abc: 3.8961 4.0333 4.6600
angles: 90.00 113.27 90.00
Closest atoms and distances in Å follow each position.
Positions (direct):
Sc (0.0000, 0.0000, 0.0000)  5 Co 2.49-2.79
Co (0.2676, 0.0000, 0.5824)  2 Co 2.31, 2 Sc 2.49-2.54
Co (0.4613, 0.5000, 0.8357)  2 Co 2.31, 1 Te 2.50
Te (0.7484, 0.5000, 0.4206)  5 Co 2.50-2.74

=====

Record 4
The following is a DFT calculation (PBE) of GdHoTe2 after structural relaxation.

Output
As for the energy relative to the elements, uncorrected: -1335 meV/atom. The calculation puts the magnetic moment at 20.67 μB/cell. The volume comes out at 354.8 Å³/cell. The value obtained for the energy relative to the lowest polymorph listed for this composition is 0.0 meV per atom.

abc: 4.3778 4.3778 21.3789
angles: 90.00 90.00 120.00
Closest atoms and distances in Å follow each position.
Positions (direct):
Gd (0.0000, 0.0000, 0.0000)  6 Te 3.11
Gd (0.3333, 0.6667, 0.6667)  6 Te 3.11
Gd (0.6667, 0.3333, 0.3333)  6 Te 3.11
Ho (0.0000, 0.0000, 0.5000)  6 Te 3.07
Ho (0.3333, 0.6667, 0.1667)  6 Te 3.07
Ho (0.6667, 0.3333, 0.8333)  6 Te 3.07
Te (0.0000, 0.0000, 0.2482)  3 Ho 3.07, 3 Gd 3.11
Te (0.0000, 0.0000, 0.7518)  3 Ho 3.07, 3 Gd 3.11
Te (0.3333, 0.6667, 0.4185)  3 Ho 3.07, 3 Gd 3.11
Te (0.3333, 0.6667, 0.9149)  3 Ho 3.07, 3 Gd 3.11
Te (0.6667, 0.3333, 0.0851)  3 Ho 3.07, 3 Gd 3.11
Te (0.6667, 0.3333, 0.5815)  3 Ho 3.07, 3 Gd 3.11

=====

Record 5
The following is a DFT calculation (PBE) of TaTe2SN after structural relaxation.

Output
As for the energy relative to the elements, uncorrected: 381 meV/atom. The calculation puts the magnetic moment at 0.00 μB/cell. The volume comes out at 117.2 Å³/cell. The value obtained for the energy relative to the lowest polymorph listed for this composition is 0.0 meV per atom.

abc: 5.4785 5.4785 3.9039
angles: 90.00 90.00 90.00
Closest atoms and distances in Å follow each position.
Positions (direct):
Ta (0.0000, 0.0000, 0.0000)  2 N 1.95
Te (0.0000, 0.5000, 0.0000)  2 Ta 2.74
Te (0.5000, 0.0000, 0.0000)  2 Ta 2.74
S (0.5000, 0.5000, 0.5000)  8 Te 3.36
N (0.0000, 0.0000, 0.5000)  2 Ta 1.95

=====

Record 6
The following is a DFT calculation (PBE) of RhW2Cl after structural relaxation.

Output
As for the energy relative to the elements, uncorrected: 467 meV/atom. The calculation puts the magnetic moment at 0.00 μB/cell. The volume comes out at 61.9 Å³/cell. The value obtained for the energy relative to the lowest polymorph listed for this composition is 286.1 meV per atom.

abc: 2.8046 4.1659 5.4751
angles: 90.00 104.71 90.00
Closest atoms and distances in Å follow each position.
Positions (direct):
Rh (0.0000, 0.0000, 0.0000)  7 W 2.70-2.95, 2 Rh 2.80, 4 Cl 2.84
W (0.2557, 0.0000, 0.5091)  2 Cl 2.44, 1 Rh 2.70
W (0.6016, 0.5000, 0.2056)  1 Cl 2.41
Cl (0.3757, 0.5000, 0.7496)  3 W 2.41-2.44

=====

Record 7
The following is a DFT calculation (PBE) of Y2MgIn after structural relaxation.

Output
The calculation puts the energy relative to the elements at -213 meV/atom. The calculation puts the magnetic moment at 0.00 μB/cell. The volume comes out at 217.2 Å³/cell.

abc: 4.5946 4.5946 10.2909
angles: 90.00 90.00 90.00
Closest atoms and distances in Å follow each position.
Positions (direct):
Y (0.0000, 0.0000, 0.0000)  4 Mg 3.25, 4 In 3.45, 4 Y 3.45
Y (0.0000, 0.5000, 0.2500)  4 In 3.25, 4 Mg 3.45, 4 Y 3.45
Y (0.5000, 0.0000, 0.7500)  4 In 3.25, 4 Mg 3.45, 4 Y 3.45
Y (0.5000, 0.5000, 0.5000)  4 Mg 3.25, 4 In 3.45, 4 Y 3.45
Mg (0.0000, 0.0000, 0.5000)  8 Y 3.25-3.45, 4 In 3.45
Mg (0.5000, 0.5000, 0.0000)  8 Y 3.25-3.45, 4 In 3.45
In (0.0000, 0.5000, 0.7500)  8 Y 3.25-3.45, 4 Mg 3.45
In (0.5000, 0.0000, 0.2500)  8 Y 3.25-3.45, 4 Mg 3.45

=====

Record 8
The following is a DFT calculation (PBE) of Ca2AgSF after structural relaxation.

Output
As for the energy relative to the elements, uncorrected: -1176 meV/atom. The calculation puts the magnetic moment at 0.00 μB/cell. The volume comes out at 111.6 Å³/cell.

abc: 4.8787 4.8787 4.6870
angles: 90.00 90.00 90.00
Closest atoms and distances in Å follow each position.
Positions (direct):
Ca (0.0000, 0.5000, 0.0000)  2 F 2.44
Ca (0.5000, 0.0000, 0.0000)  2 F 2.44
Ag (0.0000, 0.0000, 0.5000)  2 F 2.34
S (0.5000, 0.5000, 0.5000)  8 Ca 3.38, 4 Ag 3.45
F (0.0000, 0.0000, 0.0000)  2 Ag 2.34, 4 Ca 2.44

=====

- What is the volume in the second record?
  96.0 Å³/cell